Computed, not measured: HoZnAu after structural relaxation at the PBE level of DFT.

Cell lengths 4.207, 4.207, 7.144 Å; angles 90.00, 90.00, 90.00 degrees
Sites, in units of the cell vectors:
Ho (0.250, 0.250, 0.165)
Ho (0.750, 0.750, 0.835)
Zn (0.250, 0.750, 0.500)
Zn (0.750, 0.250, 0.500)
Au (0.250, 0.250, 0.751)
Au (0.750, 0.750, 0.249)

Calculated values
For the energy, the calculation gives -3.6901 eV per atom. The symmetry is P4/nmm (129). The formation energy comes out at -647 meV per atom. The total magnetization is 0.00 μB/atom.



Computed, not measured: BaHBr after structural relaxation at the PBE level of DFT.

Cell lengths 4.567, 4.567, 7.470 Å; angles 90.00, 90.00, 90.00 degrees
Sites, in units of the cell vectors:
Ba (0.250, 0.250, 0.194)
Ba (0.750, 0.750, 0.806)
H (0.250, 0.750, 0.000)
H (0.750, 0.250, 0.000)
Br (0.250, 0.250, 0.656)
Br (0.750, 0.750, 0.344)

Calculated values
For the energy, the calculation gives -3.7417 eV per atom. The symmetry is P4/nmm (129). The total magnetization is 0.00 μB/atom.



Computed, not measured: Sr4CeTh3P8 after structural relaxation at the PBE level of DFT.

Cell lengths 8.560, 8.560, 8.560 Å; angles 59.60, 59.60, 59.60 degrees
Sites, in units of the cell vectors:
Sr (0.000, 0.000, 0.000)
Sr (0.000, 0.500, 0.500)
Sr (0.500, 0.000, 0.500)
Sr (0.500, 0.500, 0.000)
Ce (0.500, 0.500, 0.500)
Th (0.000, 0.000, 0.500)
Th (0.000, 0.500, 0.000)
Th (0.500, 0.000, 0.000)
P (0.242, 0.242, 0.242)
P (0.243, 0.739, 0.739)
P (0.261, 0.261, 0.757)
P (0.261, 0.757, 0.261)
P (0.739, 0.243, 0.739)
P (0.739, 0.739, 0.243)
P (0.757, 0.261, 0.261)
P (0.758, 0.758, 0.758)

Calculated values
For the energy, the calculation gives -6.2547 eV per atom. The symmetry is R-3m (166). The formation energy comes out at -1367 meV per atom. The total magnetization is 0.00 μB/atom.



What did the first record say?
Computed, not measured: HoZnAu after structural relaxation at the PBE level of DFT.

Cell lengths 4.207, 4.207, 7.144 Å; angles 90.00, 90.00, 90.00 degrees
Sites, in units of the cell vectors:
Ho (0.250, 0.250, 0.165)
Ho (0.750, 0.750, 0.835)
Zn (0.250, 0.750, 0.500)
Zn (0.750, 0.250, 0.500)
Au (0.250, 0.250, 0.751)
Au (0.750, 0.750, 0.249)

Calculated values
For the energy, the calculation gives -3.6901 eV per atom. The symmetry is P4/nmm (129). The formation energy comes out at -647 meV per atom. The total magnetization is 0.00 μB/atom.



Please write out number 3 again, unchanged.
Computed, not measured: Sr4CeTh3P8 after structural relaxation at the PBE level of DFT.

Cell lengths 8.560, 8.560, 8.560 Å; angles 59.60, 59.60, 59.60 degrees
Sites, in units of the cell vectors:
Sr (0.000, 0.000, 0.000)
Sr (0.000, 0.500, 0.500)
Sr (0.500, 0.000, 0.500)
Sr (0.500, 0.500, 0.000)
Ce (0.500, 0.500, 0.500)
Th (0.000, 0.000, 0.500)
Th (0.000, 0.500, 0.000)
Th (0.500, 0.000, 0.000)
P (0.242, 0.242, 0.242)
P (0.243, 0.739, 0.739)
P (0.261, 0.261, 0.757)
P (0.261, 0.757, 0.261)
P (0.739, 0.243, 0.739)
P (0.739, 0.739, 0.243)
P (0.757, 0.261, 0.261)
P (0.758, 0.758, 0.758)

Calculated values
For the energy, the calculation gives -6.2547 eV per atom. The symmetry is R-3m (166). The formation energy comes out at -1367 meV per atom. The total magnetization is 0.00 μB/atom.